Entry from Alexandria via LeMat-Bulk: KHgCl2 after structural relaxation (PBE-GGA).

Results
Formation energy (no corrections) in meV per atom: -732
Space-group type: R-3m, No. 166
Total magnetic moment in μB/f.u.: 0.0

abc: 8.7758 8.7758 8.7758
angles: 32.02 32.02 32.02
With the nearest neighbours (Å) after each atom.
Atoms (fractional coordinates):
K (0.0000, 0.0000, 0.0000)  2 Cl 2.84
Hg (0.5000, 0.5000, 0.5000)  6 Cl 3.09
Cl (0.1138, 0.1138, 0.1138)  1 K 2.84, 3 Hg 3.09
Cl (0.8862, 0.8862, 0.8862)  1 K 2.84, 3 Hg 3.09